Record 1
# Ba3LaCl9

A PBEsol-optimized structure of Ba3LaCl9 (SCAN, Alexandria).

```
Ba3LaCl9
1.0
11.615 0.000 0.000
0.000 7.083 0.000
0.000 0.000 18.750
Ba La Cl
12 4 36
Direct
0.063 0.250 0.085
0.147 0.250 0.520
0.234 0.250 0.832
0.266 0.750 0.332
0.353 0.750 0.020
0.437 0.750 0.585
0.563 0.250 0.415
0.647 0.250 0.980
0.734 0.250 0.668
0.766 0.750 0.168
0.853 0.750 0.480
0.937 0.750 0.915
0.058 0.750 0.693
0.442 0.250 0.193
0.558 0.750 0.807
0.942 0.250 0.307
0.011 0.017 0.794
0.011 0.483 0.794
0.059 0.511 0.398
0.059 0.989 0.398
0.146 0.508 0.961
0.146 0.992 0.961
0.175 0.750 0.565
0.222 0.250 0.671
0.225 0.250 0.256
0.275 0.750 0.756
0.278 0.750 0.171
0.325 0.250 0.065
0.354 0.008 0.461
0.354 0.492 0.461
0.441 0.011 0.898
0.441 0.489 0.898
0.489 0.517 0.294
0.489 0.983 0.294
0.511 0.017 0.706
0.511 0.483 0.706
0.559 0.511 0.102
0.559 0.989 0.102
0.646 0.508 0.539
0.646 0.992 0.539
0.675 0.750 0.935
0.722 0.250 0.829
0.725 0.250 0.244
0.775 0.750 0.744
0.778 0.750 0.329
0.825 0.250 0.435
0.854 0.008 0.039
0.854 0.492 0.039
0.941 0.011 0.602
0.941 0.489 0.602
0.989 0.517 0.206
0.989 0.983 0.206
```

---

Record 2
# BaLa2Cl

A PBEsol-optimized structure of BaLa2Cl (SCAN, Alexandria).

```
BaLa2Cl
1.0
0.000 4.076 4.076
4.076 0.000 4.076
4.076 4.076 0.000
Ba La Cl
1 2 1
Direct
0.000 0.000 0.000
0.500 0.500 0.500
0.750 0.750 0.750
0.250 0.250 0.250
```

---

Energy relative to the elements, uncorrected in eV per atom, matching the order above: -2.75; -0.21